i.
## Pm3PrDy3 (PBE)

Data for an optimized crystal structure of Pm3PrDy3.

abc: 8.7436 8.7436 22.1225
angles: 90.00 90.00 120.00
Space group R-3 (No. 148, hexagonal axes)
One atom of each set of equivalent atoms:
Pm (0.0504, 0.4480, 0.3807) [18 per cell]
Pr (0.0000, 0.0000, 0.1535) [6 per cell]
Dy (0.0042, 0.2313, 0.5586) [18 per cell]

Summary:
The calculation puts the density of states at the Fermi level at 1.521 states/eV/atom. Its magnetic moment is 0.00 Bohr magnetons per cell.



ii.
## Pm3PrDy3 (PBE)

Data for an optimized crystal structure of Pm3PrDy3.

abc: 10.0287 10.0287 8.2140
angles: 90.00 90.00 120.00
Space group R3m (No. 160, hexagonal axes)
One atom of each set of equivalent atoms:
Pm (0.0921, 0.5461, 0.0000) [9 per cell]
Pr (0.0000, 0.0000, 0.0404) [3 per cell]
Dy (0.0653, 0.5327, 0.4297) [9 per cell]

Summary:
The calculation puts the density of states at the Fermi level at 1.543 states/eV/atom. Its magnetic moment is 0.00 Bohr magnetons per cell.



Stability comparison, relative energies in kJ/mol of atoms: i 0.0; ii 2.4



i.
## PmPr3Dy7 (PBE)

Data for an optimized crystal structure of PmPr3Dy7.

abc: 6.5674 6.7078 8.6886
angles: 99.05 98.75 95.12
Space group P-1 (No. 2)
One atom of each set of equivalent atoms:
Pm (0.0000, 0.0000, 0.0000) [1 per cell]
Pr (0.2997, 0.4370, 0.3385) [2 per cell]
Pr (0.5000, 0.0000, 0.5000) [1 per cell]
Dy (0.0000, 0.5000, 0.0000) [1 per cell]
Dy (0.0586, 0.2072, 0.6441) [2 per cell]
Dy (0.2256, 0.7231, 0.7158) [2 per cell]
Dy (0.4861, 0.2348, 0.9165) [2 per cell]

Summary:
The calculation puts the density of states at the Fermi level at 1.555 states/eV/atom. Its magnetic moment is 0.00 Bohr magnetons per cell.



ii.
## PmPr3Dy7 (PBE)

Data for an optimized crystal structure of PmPr3Dy7.

abc: 7.1094 7.1094 8.7619
angles: 90.00 90.00 120.00
Space group P3m1 (No. 156)
One atom of each set of equivalent atoms:
Pm (0.0000, 0.0000, 0.0000) [1 per cell]
Pr (0.1669, 0.3339, 0.6594) [3 per cell]
Dy (0.0016, 0.5008, 0.9988) [3 per cell]
Dy (0.3323, 0.1662, 0.3227) [3 per cell]
Dy (0.3333, 0.6667, 0.3198) [1 per cell]

Summary:
The calculation puts the density of states at the Fermi level at 1.545 states/eV/atom. Its magnetic moment is 0.00 Bohr magnetons per cell.



Stability comparison, relative energies in kJ/mol of atoms: i 0.0; ii 5.1



i.
## Pm2Pr2Dy (PBE)

Data for an optimized crystal structure of Pm2Pr2Dy.

abc: 8.6824 9.8596 9.0481
angles: 90.00 112.54 90.00
Space group C2/c (No. 15)
One atom of each set of equivalent atoms:
Pm (0.0000, 0.0000, 0.0000) [4 per cell]
Pm (0.2500, 0.2500, 0.0000) [4 per cell]
Pr (0.1597, 0.4123, 0.6373) [8 per cell]
Dy (0.0000, 0.2980, 0.2500) [4 per cell]

Summary:
The calculation puts the density of states at the Fermi level at 1.641 states/eV/atom. Its magnetic moment is 0.00 Bohr magnetons per cell.



ii.
## Pm2Pr2Dy (PBE)

Data for an optimized crystal structure of Pm2Pr2Dy.

abc: 6.4037 5.8804 9.7902
angles: 90.00 109.00 90.00
Space group P2_1/m (No. 11)
One atom of each set of equivalent atoms:
Pm (0.0343, 0.2500, 0.3989) [2 per cell]
Pm (0.2332, 0.2500, 0.7992) [2 per cell]
Pr (0.1682, 0.7500, 0.0003) [2 per cell]
Pr (0.3662, 0.7500, 0.3987) [2 per cell]
Dy (0.4371, 0.2500, 0.1999) [2 per cell]

Summary:
The calculation puts the density of states at the Fermi level at 1.735 states/eV/atom. Its magnetic moment is 0.00 Bohr magnetons per cell.



Stability comparison, relative energies in kJ/mol of atoms: i 18.9; ii 0.0



i.
## Pm6PrDy4 (PBE)

Data for an optimized crystal structure of Pm6PrDy4.

abc: 11.0967 11.0967 3.5890
angles: 90.00 90.00 120.00
Space group P-6m2 (No. 187)
One atom of each set of equivalent atoms:
Pm (0.0322, 0.5161, 0.0000) [3 per cell]
Pm (0.1451, 0.2903, 0.5000) [3 per cell]
Pr (0.6667, 0.3333, 0.5000) [1 per cell]
Dy (0.3333, 0.6667, 0.5000) [1 per cell]
Dy (0.3412, 0.1706, 0.0000) [3 per cell]

Summary:
The calculation puts the density of states at the Fermi level at 1.363 states/eV/atom. Its magnetic moment is 0.00 Bohr magnetons per cell.



ii.
## Pm6PrDy4 (PBE)

Data for an optimized crystal structure of Pm6PrDy4.

abc: 5.8917 9.6954 25.8961
angles: 90.00 90.00 90.00
Space group Cmcm (No. 63)
One atom of each set of equivalent atoms:
Pm (0.0000, 0.0000, 0.0000) [4 per cell]
Pm (0.0000, 0.0558, 0.2500) [4 per cell]
Pm (0.0000, 0.2957, 0.5999) [8 per cell]
Pm (0.0000, 0.3825, 0.1808) [8 per cell]
Pr (0.0000, 0.2840, 0.7500) [4 per cell]
Dy (0.0000, 0.0491, 0.1230) [8 per cell]
Dy (0.0000, 0.3519, 0.0433) [8 per cell]

Summary:
The calculation puts the density of states at the Fermi level at 1.778 states/eV/atom. Its magnetic moment is 0.00 Bohr magnetons per cell.



Stability comparison, relative energies in kJ/mol of atoms: i 3.8; ii 0.0